The following is a PBE-GGA calculation of a relaxed V3GaAu crystal, from Alexandria.

```
V3GaAu
1.0
-1.6600 -3.0062 -3.3424
0.8189 -3.7056 2.9262
-4.4202 0.4425 1.7974
Au V Ga
1 3 1
Cartesian
0.0000 0.0000 0.0000
-0.8300 -1.5031 -1.6712
-2.2101 0.2213 0.8987
0.4094 -1.8528 1.4631
-2.6307 -3.1346 0.6906
```

## Properties
Energy above the most stable polymorph in this dataset, eV per atom: 0.3676
Crystal system: cubic
Energy of formation, eV per formula unit: 7.0
Space group: Pm-3m

=====

The following is a PBE-GGA calculation of a relaxed Na2UV2S6 crystal, from Alexandria.

```
Na2UV2S6
1.0
6.3108 -0.0570 0.0610
-3.1687 5.4579 0.0610
-1.0977 -1.8868 6.7565
Na S U V
2 6 1 2
Cartesian
-1.6236 4.5590 0.0610
4.7656 0.8419 0.0610
1.4579 2.5060 4.8676
1.6800 -1.0014 4.8042
0.5865 1.0081 2.0109
3.7453 2.5486 2.0743
0.3644 4.5155 2.0743
-1.7009 0.9655 4.8042
-0.5488 -0.9434 3.3782
-0.5602 2.6776 3.4393
2.6046 0.8364 3.4393
```

## Properties
Crystal system: monoclinic
Electronic total energy, eV per atom: -6.353
Space group: C2/m

=====

The following is a PBE-GGA calculation of a relaxed LaCdIr2 crystal, from Alexandria.

```
LaCdIr2
1.0
-4.0556 8.2571 0.5316
-4.7852 7.0917 3.4233
-1.9572 8.5121 2.9365
Cd Ir La
1 2 1
Cartesian
-8.0985 17.8957 5.1685
-5.3737 11.8744 3.4295
-0.0254 0.0560 0.0162
-2.6995 5.9652 1.7228
```

## Properties
Crystal system: trigonal
Energy of formation, eV per formula unit: 1.1
Space group: R-3m

=====

The following is a PBE-GGA calculation of a relaxed Ba2CaRu crystal, from Alexandria.

```
Ba2CaRu
1.0
11.1969 0.0000 0.0000
0.0000 11.1969 0.0000
5.5984 5.5984 2.8323
Ba Ca Ru
4 2 2
Cartesian
8.3976 6.6462 2.1242
13.9961 4.5506 2.1242
10.1491 2.7992 0.7081
12.2447 8.3976 0.7081
5.5984 5.5984 0.0000
5.5984 11.1969 1.4161
0.0000 0.0000 0.0000
11.1969 5.5984 1.4161
```

## Properties
Energy above the most stable polymorph in this dataset, eV per atom: 0.1164
Crystal system: tetragonal
Energy of formation, eV per formula unit: 1.5
Space group: I-42d

=====

The following is a PBE-GGA calculation of a relaxed Li2ScTa crystal, from Alexandria.

```
Li2ScTa
1.0
-3.9249 0.8468 -2.5831
-1.4844 -1.5242 1.7557
-1.5586 4.2030 3.7462
Li Ta Sc
2 1 1
Cartesian
-2.6900 1.0436 0.0173
-0.0633 -0.0517 0.0792
-4.3095 2.2719 2.8807
-1.4266 1.6011 2.6925
```

## Properties
Energy above the most stable polymorph in this dataset, eV per atom: 0.2039
Crystal system: monoclinic
Energy of formation, eV per formula unit: 1.5
Space group: Pm

=====

The following is a PBE-GGA calculation of a relaxed ScCr2In crystal, from Alexandria.

```
ScCr2In
1.0
5.2756 -0.0017 0.0020
-2.3093 4.7433 0.0020
0.5034 0.8047 2.6266
In Sc Cr
1 1 2
Cartesian
2.8895 0.4015 1.3143
-0.9029 2.7740 1.3143
0.0000 0.0000 0.0000
1.4832 2.3708 0.0020
```

## Properties
Crystal system: monoclinic
Energy of formation, eV per formula unit: 2.0
Space group: C2/m

=====

The following is a PBE-GGA calculation of a relaxed GeSb2TeP crystal, from Alexandria.

```
GeSb2TeP
1.0
-5.2992 0.2528 -0.4947
0.3763 -1.8565 -4.9802
-0.4024 -4.9123 1.8008
Ge P Te Sb
1 1 1 2
Cartesian
0.0000 0.0000 0.0000
-2.6627 -3.2580 -1.8370
-0.2012 -2.4562 0.9004
0.1882 -0.9282 -2.4901
-2.6496 0.1264 -0.2473
```

## Properties
Energy above the most stable polymorph in this dataset, eV per atom: 0.3593
Crystal system: tetragonal
Space group: P4/mmm

=====

The following is a PBE-GGA calculation of a relaxed TcBCl2 crystal, from Alexandria.

```
TcBCl2
1.0
6.1116 3.2637 2.7821
5.9639 0.6888 4.4386
7.2509 0.6499 1.6570
B Cl Tc
1 2 1
Cartesian
9.6632 2.3012 4.4389
2.0134 0.4795 0.9249
17.3130 4.1229 7.9528
0.0000 0.0000 0.0000
```

## Properties
Energy above the most stable polymorph in this dataset, eV per atom: 0.0569
Crystal system: trigonal
Space group: R-3m

=====

The following is a PBE-GGA calculation of a relaxed YReNi2 crystal, from Alexandria.

```
YReNi2
1.0
-0.8803 1.9008 -4.2100
4.7189 -4.2523 1.0814
-0.3884 -2.5732 -1.0804
Ni Y Re
2 1 1
Cartesian
0.0000 0.0000 0.0000
2.1653 -3.4127 0.0005
-0.6344 -0.3362 -2.6452
1.9193 -1.1757 -1.5643
```

## Properties
Energy above the most stable polymorph in this dataset, eV per atom: 0.2348
Crystal system: orthorhombic
Energy of formation, eV per formula unit: 0.6
Space group: Cmmm

=====

The following is a PBE-GGA calculation of a relaxed CuTc2RuO crystal, from Alexandria.

```
CuTc2RuO
1.0
4.6345 0.0000 0.0000
0.0000 4.6185 0.0000
0.0000 0.0000 4.6345
Tc Ru Cu O
2 1 1 1
Cartesian
0.0000 0.0000 2.3172
2.3172 0.0000 0.0000
0.0000 0.0000 0.0000
0.0000 2.3093 0.0000
2.3172 2.3093 2.3172
```

## Properties
Crystal system: tetragonal
Electronic total energy, eV per atom: -5.882
Space group: P4/mmm

=====

The following is a PBE-GGA calculation of a relaxed PuTiIr crystal, from Alexandria.

```
PuTiIr
1.0
-0.4309 -2.8518 0.0931
1.8204 -0.1377 4.2081
-4.5079 0.6640 -0.5283
Ir Ti Pu
1 1 1
Cartesian
-0.4257 -2.8169 0.0920
-0.4491 -0.9299 2.6639
-2.6746 -1.4306 1.1102
```

## Properties
Energy above the most stable polymorph in this dataset, eV per atom: 0.1905
Crystal system: trigonal
Energy of formation, eV per formula unit: -0.9
Space group: P3m1

=====

The following is a PBE-GGA calculation of a relaxed Pu2ThPaSb4 crystal, from Alexandria.

```
Pu2ThPaSb4
1.0
-3.7034 -0.8291 2.3211
3.2906 -6.2978 3.0008
1.4574 6.0363 4.4815
Sb Pu Th Pa
4 2 1 1
Cartesian
1.9362 2.9253 4.1343
2.8117 -3.1868 3.3480
1.6858 -0.5852 6.7439
-0.6413 -0.5054 3.0594
2.3740 -0.1308 3.7411
-1.1230 2.6036 3.4013
0.0000 0.0000 0.0000
-0.2064 -3.5635 2.6609
```

## Properties
Crystal system: monoclinic
Electronic total energy, eV per atom: -8.437
Space group: P2/m

=====

Spin magnetization across the listed records, respectively: 4.83; 6.00; 0.00; 0.00; 0.00; 1.01; 0.00; 0.07; 0.00; 4.50; 4.93; 11.98 μB/f.u..